Entry 1:
A plane-wave DFT calculation with PBE-GGA was carried out for a relaxed Mn3FeOs3 crystal.

Properties
electronic total energy: -9.466 eV per atom
calculated formation energy: 485 meV per atom

Unit cell a=4.9978 b=4.9978 c=4.9978 alpha=109.11 beta=109.11 gamma=109.11
Atoms (fractional coordinates):
Mn 0.0000 0.5000 0.5000
Mn 0.5000 0.0000 0.5000
Mn 0.5000 0.5000 0.0000
Fe 0.5000 0.5000 0.5000
Os 0.0000 0.0000 0.5000
Os 0.0000 0.5000 0.0000
Os 0.5000 0.0000 0.0000

Entry 2:
A plane-wave DFT calculation with PBE-GGA was carried out for a relaxed Mn2FeOs2 crystal.

Properties
energy above the lowest structure with this stoichiometry: 351.1 meV/atom
electronic total energy: -9.425 eV per atom
calculated formation energy: 428 meV per atom

Unit cell a=7.0390 b=7.0390 c=2.6555 alpha=90.00 beta=90.00 gamma=90.00
Atoms (fractional coordinates):
Mn 0.1672 0.3328 0.0000
Mn 0.3328 0.8328 0.0000
Mn 0.6672 0.1672 0.0000
Mn 0.8328 0.6672 0.0000
Fe 0.0000 0.0000 0.5000
Fe 0.5000 0.5000 0.5000
Os 0.1310 0.6310 0.5000
Os 0.3690 0.1310 0.5000
Os 0.6310 0.8690 0.5000
Os 0.8690 0.3690 0.5000

Entry 3:
A plane-wave DFT calculation with PBE-GGA was carried out for a relaxed Mn2FeOs2 crystal.

Properties
energy above the lowest structure with this stoichiometry: 268.6 meV/atom
electronic total energy: -9.507 eV per atom
calculated formation energy: 345 meV per atom

Unit cell a=6.9185 b=6.9185 c=2.6821 alpha=90.00 beta=90.00 gamma=90.00
Atoms (fractional coordinates):
Mn 0.1228 0.3772 0.0000
Mn 0.3772 0.8772 0.0000
Mn 0.6228 0.1228 0.0000
Mn 0.8772 0.6228 0.0000
Fe 0.0000 0.0000 0.0000
Fe 0.5000 0.5000 0.0000
Os 0.1737 0.6737 0.5000
Os 0.3263 0.1737 0.5000
Os 0.6737 0.8263 0.5000
Os 0.8263 0.3263 0.5000

Entry 4:
A plane-wave DFT calculation with PBE-GGA was carried out for a relaxed MnFe2Os crystal.

Properties
electronic total energy: -9.208 eV per atom
calculated formation energy: 123 meV per atom

Unit cell a=4.8715 b=4.8715 c=4.8715 alpha=145.76 beta=129.58 gamma=62.36
Atoms (fractional coordinates):
Mn 0.0000 0.0000 0.0000
Fe 0.2467 0.7467 0.5000
Fe 0.7533 0.2533 0.5000
Os 0.5000 0.5000 0.0000

Entry 5:
A plane-wave DFT calculation with PBE-GGA was carried out for a relaxed MnFe2Os crystal.

Properties
electronic total energy: -9.302 eV per atom
calculated formation energy: 30 meV per atom

Unit cell a=3.6058 b=3.6058 c=3.6975 alpha=90.00 beta=90.00 gamma=90.00
Atoms (fractional coordinates):
Mn 0.0000 0.0000 0.0000
Fe 0.0000 0.5000 0.5000
Fe 0.5000 0.0000 0.5000
Os 0.5000 0.5000 0.0000

Entry 6:
A plane-wave DFT calculation with PBE-GGA was carried out for a relaxed MnFe2Os crystal.

Properties
electronic total energy: -9.169 eV per atom
calculated formation energy: 162 meV per atom

Unit cell a=8.4427 b=8.4427 c=8.4427 alpha=17.84 beta=17.84 gamma=17.84
Atoms (fractional coordinates):
Mn 0.0000 0.0000 0.0000
Fe 0.4941 0.4941 0.4941
Fe 0.7451 0.7451 0.7451
Os 0.2491 0.2491 0.2491

Entry 7:
A plane-wave DFT calculation with PBE-GGA was carried out for a relaxed Mn2FeOs6 crystal.

Properties
electronic total energy: -10.200 eV per atom
calculated formation energy: 265 meV per atom

Unit cell a=6.6663 b=6.6663 c=8.3221 alpha=123.45 beta=123.45 gamma=63.32
Atoms (fractional coordinates):
Mn 0.0895 0.2987 0.0120
Mn 0.2987 0.0895 0.5120
Mn 0.7013 0.9105 0.4880
Mn 0.9105 0.7013 0.9880
Fe 0.3706 0.6294 0.2500
Fe 0.6294 0.3706 0.7500
Os 0.0280 0.7857 0.3605
Os 0.1441 0.5937 0.7171
Os 0.2143 0.9720 0.1395
Os 0.3199 0.3976 0.4208
Os 0.3976 0.3199 0.9208
Os 0.4063 0.8559 0.7829
Os 0.5937 0.1441 0.2171
Os 0.6024 0.6801 0.0792
Os 0.6801 0.6024 0.5792
Os 0.7857 0.0280 0.8605
Os 0.8559 0.4063 0.2829
Os 0.9720 0.2143 0.6395

Entry 8:
A plane-wave DFT calculation with PBE-GGA was carried out for a relaxed MnFe2Os crystal.

Properties
electronic total energy: -9.223 eV per atom
calculated formation energy: 109 meV per atom

Unit cell a=4.8031 b=4.8031 c=4.8031 alpha=144.65 beta=129.07 gamma=63.52
Atoms (fractional coordinates):
Mn 0.0000 0.0000 0.0000
Fe 0.2467 0.7467 0.5000
Fe 0.4898 0.4898 0.0000
Os 0.7463 0.2463 0.5000

Question: Number 6 is which compound?
Answer: MnFe2Os

Question: What is the calculated formation energy in the sixth record?
Answer: 162 meV per atom

Question: What is the calculated formation energy in the eighth record?
Answer: 109 meV per atom

Question: Number 4 is which compound?
Answer: MnFe2Os